# Tb3CuIr8, relaxed, DFT PBE
data_Tb3CuIr8
_chemical_formula_sum 'Tb9 Cu3 Ir24'
_cell_length_a 5.3281
_cell_length_b 5.3281
_cell_length_c 26.0383
_cell_angle_alpha 90.00
_cell_angle_beta 90.00
_cell_angle_gamma 120.00
_symmetry_space_group_name_H-M 'R 3 m'
_symmetry_Int_Tables_number 160
_symmetry_space_group_name_Hall 'R 3 -2"'
loop_
_atom_site_label
_atom_site_type_symbol
_atom_site_fract_x
_atom_site_fract_y
_atom_site_fract_z
_atom_site_occupancy
Tb1 Tb 0.0000 0.0000 0.0000 1
Tb2 Tb 0.0000 0.0000 0.1294 1
Tb3 Tb 0.0000 0.0000 0.5139 1
Cu1 Cu 0.0000 0.0000 0.6430 1
Ir1 Ir 0.0000 0.0000 0.3165 1
Ir2 Ir 0.0000 0.0000 0.8170 1
Ir3 Ir 0.9999 0.5000 0.0666 1
Ir4 Ir 0.0001 0.5000 0.5677 1
# **E_tot**: -285.59 eV for the cell shown
# **Energy of formation from the pure elements**: -527 meV/atom
# **Calculated volume**: 17.8 Å³/atom
# **Mass density**: 16.171 Mg/m³

***

# SrGa2AgPt, relaxed, DFT PBE
data_SrGa2AgPt
_chemical_formula_sum 'Sr1 Ga2 Ag1 Pt1'
_cell_length_a 4.8069
_cell_length_b 4.8069
_cell_length_c 5.3456
_cell_angle_alpha 90.00
_cell_angle_beta 90.00
_cell_angle_gamma 90.00
_symmetry_space_group_name_H-M 'P 4/m m m'
_symmetry_Int_Tables_number 123
_symmetry_space_group_name_Hall '-P 4 2'
loop_
_atom_site_label
_atom_site_type_symbol
_atom_site_fract_x
_atom_site_fract_y
_atom_site_fract_z
_atom_site_occupancy
Sr1 Sr 0.0000 0.0000 0.0000 1
Ga1 Ga 0.0000 0.5000 0.5000 1
Ag1 Ag 0.5000 0.5000 0.0000 1
Pt1 Pt 0.5000 0.5000 0.5000 1
# **E_tot**: -18.50 eV for the cell shown
# **Energy of formation from the pure elements**: -374 meV/atom
# **Calculated volume**: 24.7 Å³/atom
# **Mass density**: 7.125 Mg/m³

***

# AgSn2GeSe6, relaxed, DFT PBE
data_AgSn2GeSe6
_chemical_formula_sum 'Ag4 Sn8 Ge4 Se24'
_cell_length_a 13.6349
_cell_length_b 11.7536
_cell_length_c 7.4156
_cell_angle_alpha 90.00
_cell_angle_beta 107.73
_cell_angle_gamma 90.00
_symmetry_space_group_name_H-M 'C 1 2/c 1'
_symmetry_Int_Tables_number 15
_symmetry_space_group_name_Hall '-C 2yc'
loop_
_atom_site_label
_atom_site_type_symbol
_atom_site_fract_x
_atom_site_fract_y
_atom_site_fract_z
_atom_site_occupancy
Ag1 Ag 0.0000 0.1854 0.2500 1
Sn1 Sn 0.2117 0.4065 0.2251 1
Ge1 Ge 0.0000 0.2375 0.7500 1
Se1 Se 0.0915 0.0899 0.6008 1
Se2 Se 0.1213 0.4355 0.4841 1
Se3 Se 0.1485 0.2048 0.0999 1
# **E_tot**: -152.96 eV for the cell shown
# **Calculated volume**: 28.3 Å³/atom
# **Mass density**: 5.232 Mg/m³
# **Formation energy from raw total energies**: -185.8 meV/atom

***

# NdGaAg2, relaxed, DFT PBE
data_NdGaAg2
_chemical_formula_sum 'Nd8 Ga8 Ag16'
_cell_length_a 4.4561
_cell_length_b 16.8938
_cell_length_c 9.4328
_cell_angle_alpha 90.00
_cell_angle_beta 90.00
_cell_angle_gamma 90.00
_symmetry_space_group_name_H-M 'C m c m'
_symmetry_Int_Tables_number 63
_symmetry_space_group_name_Hall '-C 2c 2'
loop_
_atom_site_label
_atom_site_type_symbol
_atom_site_fract_x
_atom_site_fract_y
_atom_site_fract_z
_atom_site_occupancy
Nd1 Nd 0.0000 0.0000 0.0000 1
Nd2 Nd 0.0000 0.1944 0.2500 1
Ga1 Ga 0.0000 0.3568 0.5233 1
Ag1 Ag 0.0000 0.1949 0.5970 1
Ag2 Ag 0.0000 0.3918 0.2500 1
Ag3 Ag 0.0000 0.4468 0.7500 1
# **E_tot**: -118.34 eV for the cell shown
# **Energy of formation from the pure elements**: -324 meV/atom
# **Calculated volume**: 22.2 Å³/atom
# **Mass density**: 8.039 Mg/m³

***

# YPdAu, relaxed, DFT PBE
data_YPdAu
_chemical_formula_sum 'Y16 Pd16 Au16'
_cell_length_a 7.7706
_cell_length_b 10.2236
_cell_length_c 14.1000
_cell_angle_alpha 90.00
_cell_angle_beta 90.00
_cell_angle_gamma 90.00
_symmetry_space_group_name_H-M 'F d d d'
_symmetry_Int_Tables_number 70
loop_
_symmetry_equiv_pos_as_xyz
'x,y,z'
'-x,-y,-z'
'-x+1/4,-y+1/4,z'
'x+1/4,y+1/4,-z'
'x,-y+1/4,-z+1/4'
'-x,y+1/4,z+1/4'
'-x+1/4,y,-z+1/4'
'x+1/4,-y,z+1/4'
'x,y+1/2,z+1/2'
'-x,-y+1/2,-z+1/2'
'-x+1/4,-y+3/4,z+1/2'
'x+1/4,y+3/4,-z+1/2'
'x,-y+3/4,-z+3/4'
'-x,y+3/4,z+3/4'
'-x+1/4,y+1/2,-z+3/4'
'x+1/4,-y+1/2,z+3/4'
'x+1/2,y,z+1/2'
'-x+1/2,-y,-z+1/2'
'-x+3/4,-y+1/4,z+1/2'
'x+3/4,y+1/4,-z+1/2'
'x+1/2,-y+1/4,-z+3/4'
'-x+1/2,y+1/4,z+3/4'
'-x+3/4,y,-z+3/4'
'x+3/4,-y,z+3/4'
'x+1/2,y+1/2,z'
'-x+1/2,-y+1/2,-z'
'-x+3/4,-y+3/4,z'
'x+3/4,y+3/4,-z'
'x+1/2,-y+3/4,-z+1/4'
'-x+1/2,y+3/4,z+1/4'
'-x+3/4,y+1/2,-z+1/4'
'x+3/4,-y+1/2,z+1/4'
loop_
_atom_site_label
_atom_site_type_symbol
_atom_site_fract_x
_atom_site_fract_y
_atom_site_fract_z
_atom_site_occupancy
Y1 Y 0.1250 0.1250 0.3155 1
Pd1 Pd 0.0427 0.3750 0.3750 1
Au1 Au 0.0000 0.0000 0.5000 1
# **E_tot**: -263.35 eV for the cell shown
# **Energy of formation from the pure elements**: -508 meV/atom
# **Calculated volume**: 23.3 Å³/atom
# **Mass density**: 9.305 Mg/m³

***

# Cu3Ru, relaxed, DFT PBE
data_Cu3Ru
_chemical_formula_sum 'Cu6 Ru2'
_cell_length_a 8.7414
_cell_length_b 2.5320
_cell_length_c 4.6198
_cell_angle_alpha 90.00
_cell_angle_beta 99.18
_cell_angle_gamma 90.00
_symmetry_space_group_name_H-M 'C 1 2/m 1'
_symmetry_Int_Tables_number 12
_symmetry_space_group_name_Hall '-C 2y'
loop_
_atom_site_label
_atom_site_type_symbol
_atom_site_fract_x
_atom_site_fract_y
_atom_site_fract_z
_atom_site_occupancy
Cu1 Cu 0.0000 0.0000 0.0000 1
Cu2 Cu 0.2491 0.5000 0.2472 1
Ru1 Ru 0.0000 0.5000 0.5000 1
# **E_tot**: -41.55 eV for the cell shown
# **Energy of formation from the pure elements**: 197 meV/atom
# **Calculated volume**: 12.6 Å³/atom
# **Mass density**: 9.597 Mg/m³

***

# HoGe4Pt12, relaxed, DFT PBE
data_HoGe4Pt12
_chemical_formula_sum 'Ho2 Ge8 Pt24'
_cell_length_a 8.5631
_cell_length_b 8.5631
_cell_length_c 8.5631
_cell_angle_alpha 90.00
_cell_angle_beta 90.00
_cell_angle_gamma 90.00
_symmetry_space_group_name_H-M 'I m -3'
_symmetry_Int_Tables_number 204
_symmetry_space_group_name_Hall '-I 2 2 3'
loop_
_atom_site_label
_atom_site_type_symbol
_atom_site_fract_x
_atom_site_fract_y
_atom_site_fract_z
_atom_site_occupancy
Ho1 Ho 0.0000 0.0000 0.0000 1
Ge1 Ge 0.2500 0.2500 0.2500 1
Pt1 Pt 0.0000 0.1563 0.3437 1
# **E_tot**: -198.35 eV for the cell shown
# **Energy of formation from the pure elements**: -214 meV/atom
# **Calculated volume**: 18.5 Å³/atom
# **Mass density**: 14.791 Mg/m³

***

# SrSc2Ir, relaxed, DFT PBE
data_SrSc2Ir
_chemical_formula_sum 'Sr1 Sc2 Ir1'
_cell_length_a 3.3495
_cell_length_b 3.3590
_cell_length_c 9.1660
_cell_angle_alpha 90.00
_cell_angle_beta 90.13
_cell_angle_gamma 90.00
_symmetry_space_group_name_H-M 'P 1 2/m 1'
_symmetry_Int_Tables_number 10
_symmetry_space_group_name_Hall '-P 2y'
loop_
_atom_site_label
_atom_site_type_symbol
_atom_site_fract_x
_atom_site_fract_y
_atom_site_fract_z
_atom_site_occupancy
Sr1 Sr 0.0000 0.0000 0.0000 1
Sc1 Sc 0.4988 0.5000 0.3370 1
Ir1 Ir 0.0000 0.0000 0.5000 1
# **E_tot**: -24.59 eV for the cell shown
# **Energy of formation from the pure elements**: -346 meV/atom
# **Calculated volume**: 25.8 Å³/atom
# **Excess energy over the best structure of this formula in the dataset**: 18.3 meV per atom
# **Mass density**: 5.954 Mg/m³

***

mass density of number 5 (YPdAu)? 9.305 Mg/m³